*w*
First-principles (PBE) data for a relaxed BaMgSi2Pt crystal, as listed in the Alexandria database.

Summary:
space-group type: P4/mmm (123)
density of states at the Fermi level: 3.9 states/eV per cell
spin magnetization: 0.0 μB per cell

abc: 4.8352 6.1049 4.8352
angles: 90.00 90.00 90.00
With the nearest neighbours (Å) after each atom.
Element x y z (fractional)
Pt: 0.5000 0.5000 0.5000  4 Ba 3.42
Mg: 0.0000 0.0000 0.0000  4 Si 2.42
Ba: 0.0000 0.5000 0.0000  2 Mg 3.05
Si: 0.0000 0.0000 0.5000  2 Mg 2.42
Si: 0.5000 0.0000 0.0000  2 Mg 2.42

=====

*x*
First-principles (PBE) data for a relaxed BaMgSi2Pt crystal, as listed in the Alexandria database.

Summary:
space-group type: P4/mmm (123)
density of states at the Fermi level: 5.0 states/eV per cell
spin magnetization: 0.0 μB per cell

abc: 5.6186 5.4335 5.6186
angles: 90.00 90.00 90.00
With the nearest neighbours (Å) after each atom.
Element x y z (fractional)
Ba: 0.0000 0.0000 0.0000  2 Pt 2.72, 4 Si 2.81
Si: 0.5000 0.0000 0.0000  2 Ba 2.81
Si: 0.0000 0.0000 0.5000  2 Ba 2.81
Mg: 0.5000 0.5000 0.5000  8 Si 3.91, 4 Pt 3.97
Pt: 0.0000 0.5000 0.0000  2 Ba 2.72

=====

If we sort the structures by their calculated energies, the order from most to least stable is *w*, *x*.

=====

*w*
First-principles (PBE) data for a relaxed Ba2SrMgPt crystal, as listed in the Alexandria database.

Summary:
space-group type: P4/mmm (123)
density of states at the Fermi level: 3.6 states/eV per cell
spin magnetization: 0.0 μB per cell

abc: 6.2032 6.2032 5.9378
angles: 90.00 90.00 90.00
With the nearest neighbours (Å) after each atom.
Element x y z (fractional)
Pt: 0.0000 0.0000 0.0000  2 Sr 2.97, 4 Ba 3.10
Sr: 0.0000 0.0000 0.5000  2 Pt 2.97
Ba: 0.5000 0.0000 0.0000  2 Pt 3.10
Ba: 0.0000 0.5000 0.0000  2 Pt 3.10
Mg: 0.5000 0.5000 0.5000  8 Ba 4.29, 4 Sr 4.39

=====

*x*
First-principles (PBE) data for a relaxed Ba2SrMgPt crystal, as listed in the Alexandria database.

Summary:
space-group type: P4/mmm (123)
density of states at the Fermi level: 4.4 states/eV per cell
spin magnetization: 0.0 μB per cell

abc: 6.2796 6.2796 5.3433
angles: 90.00 90.00 90.00
With the nearest neighbours (Å) after each atom.
Element x y z (fractional)
Mg: 0.0000 0.0000 0.5000  2 Pt 2.67
Ba: 0.0000 0.5000 0.0000  2 Pt 3.14
Ba: 0.5000 0.0000 0.0000  2 Pt 3.14
Sr: 0.5000 0.5000 0.5000  8 Ba 4.12, 4 Mg 4.44
Pt: 0.0000 0.0000 0.0000  2 Mg 2.67

=====

If we sort the structures by their calculated energies, the order from most to least stable is *w*, *x*.

=====

*w*
First-principles (PBE) data for a relaxed BaSrMg2Pt crystal, as listed in the Alexandria database.

Summary:
space-group type: P4/mmm (123)
density of states at the Fermi level: 2.2 states/eV per cell
spin magnetization: 0.0 μB per cell

abc: 5.3534 5.3534 5.9186
angles: 90.00 90.00 90.00
With the nearest neighbours (Å) after each atom.
Element x y z (fractional)
Sr: 0.5000 0.5000 0.5000  4 Ba 3.79, 8 Mg 3.99
Mg: 0.0000 0.5000 0.0000  2 Pt 2.68
Mg: 0.5000 0.0000 0.0000  2 Pt 2.68
Pt: 0.0000 0.0000 0.0000  4 Mg 2.68, 2 Ba 2.96
Ba: 0.0000 0.0000 0.5000  2 Pt 2.96

=====

*x*
First-principles (PBE) data for a relaxed BaSrMg2Pt crystal, as listed in the Alexandria database.

Summary:
space-group type: P4/mmm (123)
density of states at the Fermi level: 3.2 states/eV per cell
spin magnetization: 0.0 μB per cell

abc: 5.3364 5.3364 5.7497
angles: 90.00 90.00 90.00
With the nearest neighbours (Å) after each atom.
Element x y z (fractional)
Mg: 0.0000 0.5000 0.0000  2 Pt 2.67
Mg: 0.5000 0.0000 0.0000  2 Pt 2.67
Ba: 0.5000 0.5000 0.5000  4 Sr 3.77, 8 Mg 3.92
Pt: 0.0000 0.0000 0.0000  4 Mg 2.67, 2 Sr 2.87
Sr: 0.0000 0.0000 0.5000  2 Pt 2.87

=====

If we sort the structures by their calculated energies, the order from most to least stable is *x*, *w*.